1.
First-principles (PBE) data for a relaxed Ge2Pd8S crystal, as listed in the Alexandria database.

Cell and atoms, written as POSCAR:
```
Ge2Pd8S
1.0
-1.261 -3.679 1.525
3.114 -2.711 -3.964
4.926 2.853 5.235
Pd Ge S
8 2 1
Direct
0.339 0.037 0.677
0.661 0.963 0.323
0.794 0.695 0.587
0.593 0.437 0.186
0.973 0.221 0.947
0.407 0.563 0.814
0.027 0.779 0.053
0.206 0.305 0.413
0.820 0.298 0.639
0.180 0.702 0.361
0.500 0.000 0.000
```

Results
Fermi-level density of states (states/eV per cell): 4.72


2.
First-principles (PBE) data for a relaxed Ge2PdS6 crystal, as listed in the Alexandria database.

Cell and atoms, written as POSCAR:
```
Ge2PdS6
1.0
6.229 -0.306 -0.296
1.428 7.710 0.040
1.428 0.290 7.705
S Ge Pd
12 4 2
Direct
0.141 0.469 0.288
0.626 0.981 0.809
0.126 0.809 0.981
0.622 0.624 0.125
0.359 0.712 0.531
0.374 0.019 0.191
0.878 0.875 0.376
0.641 0.288 0.469
0.874 0.191 0.019
0.378 0.376 0.875
0.122 0.125 0.624
0.859 0.531 0.712
0.171 0.607 0.775
0.671 0.775 0.607
0.329 0.225 0.393
0.829 0.393 0.225
0.250 0.098 0.902
0.750 0.902 0.098
```

Results
Fermi-level density of states (states/eV per cell): 10.42


3.
First-principles (PBE) data for a relaxed GePdS crystal, as listed in the Alexandria database.

Cell and atoms, written as POSCAR:
```
GePdS
1.0
-2.772 1.147 3.284
-0.305 -3.993 1.880
4.274 -0.425 4.546
Pd S Ge
2 2 2
Direct
0.000 0.000 0.000
0.500 0.500 0.000
0.720 0.643 0.282
0.280 0.357 0.718
0.897 0.774 0.688
0.103 0.226 0.312
```

Results
Fermi-level density of states (states/eV per cell): 1.31


Computed electronic total energy, in the same sequence as the records: -5.3414 -4.4565 -4.8956 eV per atom.
Computed energy relative to the elements, uncorrected, in the same sequence as the records: -350.0 -101.8 -249.7 meV/atom.
Computed total moment, in the same sequence as the records: 0.00 0.00 0.00 μB per cell.